1.
DFT (GGA-PBE) results for a relaxed structure of TiGe3Te.

- energy relative to the elements, uncorrected (eV/f.u.) = 1.78
- mass density (Mg/m³) = 5.2
- energy (eV per atom) = -4.622

The structure in POSCAR format:
```
TiGe3Te
1.0
5.004 0.000 0.000
0.000 5.004 0.000
0.000 0.000 5.004
Ti Ge Te
1 3 1
Cartesian
0.000 0.000 0.000 Ti
0.000 0.000 2.502 Ge
0.000 2.502 0.000 Ge
2.502 0.000 0.000 Ge
2.502 2.502 2.502 Te
```

---

2.
DFT (GGA-PBE) results for a relaxed structure of Ti2GeTe2.

- energy relative to the elements, uncorrected (eV/f.u.) = -1.73
- mass density (Mg/m³) = 6.8
- energy (eV per atom) = -5.684

The structure in POSCAR format:
```
Ti2GeTe2
1.0
7.504 0.000 0.000
0.000 7.504 0.000
0.000 0.000 3.665
Ti Ge Te
4 2 4
Cartesian
1.092 2.660 0.000 Ti
2.660 6.412 0.000 Ti
4.844 1.092 0.000 Ti
6.412 4.844 0.000 Ti
0.000 0.000 0.000 Ge
3.752 3.752 0.000 Ge
1.129 4.881 1.833 Te
2.623 1.129 1.833 Te
4.881 6.375 1.833 Te
6.375 2.623 1.833 Te
```

---

Which value of energy does entry 2 give?
-5.684 eV per atom